# AgIrAu2 (GGA-PBE, relaxed)
data_AgIrAu2
_symmetry_space_group_name_H-M 'P 1 2/m 1'
_symmetry_Int_Tables_number 10
_symmetry_space_group_name_Hall '-P 2y'
_cell_length_a 2.769
_cell_length_b 4.094
_cell_length_c 6.014
_cell_angle_alpha 90.00
_cell_angle_beta 90.65
_cell_angle_gamma 90.00
loop_
_atom_site_label
_atom_site_fract_x
_atom_site_fract_y
_atom_site_fract_z
Ag1 0.000 0.000 0.000
Ir1 0.000 0.000 0.500
Au1 0.498 0.500 0.259
# polymorph energy (0 for the lowest one) = 67 meV per atom
# E_form = 28 kJ per mole of atoms